UVZnO6: optimized geometry, PBE with a Hubbard U.

The structure in CIF format:
```
data_UVZnO6
_chemical_formula_sum 'U2 V2 Zn2 O12'
_symmetry_space_group_name_H-M 'P -3 1 c'
_symmetry_Int_Tables_number 163
_symmetry_space_group_name_Hall '-P 3 2c'
_cell_length_a 5.3194
_cell_length_b 5.3194
_cell_length_c 8.9495
_cell_angle_alpha 90.00
_cell_angle_beta 90.00
_cell_angle_gamma 120.00
loop_
_atom_site_label
_atom_site_type_symbol
_atom_site_fract_x
_atom_site_fract_y
_atom_site_fract_z
_atom_site_occupancy
U1 U 0.3333 0.6667 0.2500 1
V1 V 0.3333 0.6667 0.7500 1
Zn1 Zn 0.0000 0.0000 0.0000 1
O1 O 0.0178 0.3560 0.6332 1
```

Properties
As for the calculated total energy: -7.745 eV/atom. For the magnetization, the calculation gives 2.00 μB per cell. The density of states at the Fermi level comes out at 0.375 states/eV per atom.